Record 1
Material: RbMgVF6
Method: DFT, GGA+U
State: relaxed

Results
Symmetry ... Imma
Total DFT energy (no corrections) ... -0.4039 Ry/atom
Crystal system ... orthorhombic

a b c (Å): 7.3042 7.5116 7.3957
angles (deg): 120.52 119.59 90.00
Closest atoms and distances in Å follow each position.
Fractional positions:
F 0.8155 0.6775 0.2458  1 V 1.95, 1 Mg 2.02
F 0.4303 0.6775 0.2458  1 V 1.95, 1 Mg 2.02
F 0.8192 0.0692 0.6384  2 Mg 1.96
F 0.8155 0.0683 0.2458  1 V 1.95, 1 Mg 2.02
F 0.1845 0.9317 0.7542  1 V 1.95, 1 Mg 2.02
F 0.1845 0.3225 0.7542  1 V 1.95, 1 Mg 2.02
F 0.5697 0.3225 0.7542  1 V 1.95, 1 Mg 2.02
F 0.4276 0.6776 0.8552  2 V 2.02
F 0.5724 0.3224 0.1448  2 V 2.02
F 0.5697 0.9317 0.7542  1 V 1.95, 1 Mg 2.02
F 0.4303 0.0683 0.2458  1 V 1.95, 1 Mg 2.02
F 0.1808 0.9308 0.3616  2 Mg 1.96
Mg 0.0000 0.0000 0.5000  6 F 1.96-2.02
Mg 0.5000 0.0000 0.5000  6 F 1.96-2.02
Rb 0.1067 0.3567 0.2134  6 F 3.00-3.35
Rb 0.8933 0.6433 0.7866  6 F 3.00-3.35
V 0.5000 0.0000 0.0000  6 F 1.95-2.02
V 0.5000 0.5000 0.0000  6 F 1.95-2.02

Record 2
Material: RbMg2VF8
Method: DFT, GGA+U
State: relaxed

Results
Symmetry ... C2/m
Total DFT energy (no corrections) ... -0.3943 Ry/atom
Crystal system ... monoclinic

a b c (Å): 5.2103 5.2097 7.3680
angles (deg): 77.88 77.89 75.66
Closest atoms and distances in Å follow each position.
Fractional positions:
F 0.6514 0.6515 0.4924  2 Mg 1.98-2.03
F 0.2205 0.7653 0.1909  1 Mg 1.95, 1 V 2.01
F 0.2435 0.2431 0.9299  1 V 1.93, 1 Mg 1.96
F 0.7795 0.2347 0.8091  1 Mg 1.95, 1 V 2.01
F 0.7655 0.2207 0.1908  1 Mg 1.95, 1 V 2.01
F 0.7565 0.7569 0.0701  1 V 1.93, 1 Mg 1.96
F 0.3486 0.3485 0.5076  2 Mg 1.98-2.03
F 0.2345 0.7793 0.8092  1 Mg 1.95, 1 V 2.01
Mg 0.5495 0.5495 0.2774  5 F 1.95-2.03
Mg 0.4505 0.4505 0.7226  5 F 1.95-2.03
Rb 0.0000 0.0000 0.5000  6 F 2.72-2.88
V 0.0000 0.0000 0.0000  6 F 1.93-2.01

Record 3
Material: Rb3MgV2F9
Method: DFT, GGA+U
State: relaxed

Results
Symmetry ... P-3m1
Total DFT energy (no corrections) ... -0.3928 Ry/atom
Crystal system ... trigonal

a b c (Å): 5.9654 5.9654 7.3067
angles (deg): 90.00 90.00 120.00
Closest atoms and distances in Å follow each position.
Fractional positions:
F 0.8379 0.1621 0.6606  1 Mg 2.05, 1 V 2.15
F 0.5000 0.0000 0.0000  2 V 2.13
F 0.1621 0.8379 0.3394  1 Mg 2.05, 1 V 2.15
F 0.1621 0.3242 0.3394  1 Mg 2.05, 1 V 2.15
F 0.5000 0.5000 0.0000  2 V 2.13
F 0.6758 0.8379 0.3394  1 Mg 2.05, 1 V 2.15
F 0.3242 0.1621 0.6606  1 Mg 2.05, 1 V 2.15
F 0.8379 0.6758 0.6606  1 Mg 2.05, 1 V 2.15
F 0.0000 0.5000 0.0000  2 V 2.13
Mg 0.0000 0.0000 0.5000  6 F 2.05
Rb 0.3333 0.6667 0.6678  12 F 2.98
Rb 0.6667 0.3333 0.3322  12 F 2.98
Rb 0.0000 0.0000 0.0000  12 F 2.98-2.99
V 0.6667 0.3333 0.8273  6 F 2.13-2.15
V 0.3333 0.6667 0.1727  6 F 2.13-2.15

Record 4
Material: Rb2MgVF6
Method: DFT, GGA+U
State: relaxed

Results
Symmetry ... I4/mmm
Total DFT energy (no corrections) ... -0.3849 Ry/atom
Crystal system ... tetragonal

a b c (Å): 5.9311 5.9311 5.9276
angles (deg): 59.98 59.98 90.00
Closest atoms and distances in Å follow each position.
Fractional positions:
Rb 0.2500 0.7500 0.5000  12 F 2.96-2.97
Rb 0.7500 0.2500 0.5000  12 F 2.96-2.97
F 0.7437 0.2563 0.0000  1 Mg 2.04, 1 V 2.15
F 0.7440 0.7440 0.5120  1 Mg 2.04, 1 V 2.14
F 0.2560 0.2560 0.4880  1 Mg 2.04, 1 V 2.14
F 0.2563 0.7437 0.0000  1 Mg 2.04, 1 V 2.15
F 0.7437 0.7437 0.0000  1 Mg 2.04, 1 V 2.15
F 0.2563 0.2563 0.0000  1 Mg 2.04, 1 V 2.15
Mg 0.5000 0.5000 0.0000  6 F 2.04
V 0.0000 0.0000 0.0000  6 F 2.14-2.15

Record 5
Material: Rb2Mg3WF12
Method: DFT, GGA+U
State: relaxed

Results
Symmetry ... R-3m
Total DFT energy (no corrections) ... -0.3773 Ry/atom
Crystal system ... trigonal

a b c (Å): 7.5955 7.5955 7.5955
angles (deg): 58.11 58.11 58.11
Closest atoms and distances in Å follow each position.
Fractional positions:
Mg 0.0000 0.0000 0.5000  6 F 1.96-2.11
Mg 0.5000 0.0000 0.0000  6 F 1.96-2.11
Mg 0.0000 0.5000 0.0000  6 F 1.96-2.11
F 0.6761 0.0763 0.0763  1 W 2.02, 1 Mg 2.11
F 0.0763 0.0763 0.6761  1 W 2.02, 1 Mg 2.11
F 0.3128 0.9235 0.3128  2 Mg 1.96
F 0.3239 0.9237 0.9237  1 W 2.02, 1 Mg 2.11
F 0.6872 0.0765 0.6872  2 Mg 1.96
F 0.9237 0.9237 0.3239  1 W 2.02, 1 Mg 2.11
F 0.9235 0.3128 0.3128  2 Mg 1.96
F 0.0763 0.6761 0.0763  1 W 2.02, 1 Mg 2.11
F 0.9237 0.3239 0.9237  1 W 2.02, 1 Mg 2.11
F 0.0765 0.6872 0.6872  2 Mg 1.96
F 0.6872 0.6872 0.0765  2 Mg 1.96
F 0.3128 0.3128 0.9235  2 Mg 1.96
W 0.0000 0.0000 0.0000  6 F 2.02
Rb 0.5967 0.5967 0.5967  6 F 3.01-3.36
Rb 0.4033 0.4033 0.4033  6 F 3.01-3.36

Record 6
Material: Rb2MgWF6
Method: DFT, GGA+U
State: relaxed

Results
Symmetry ... I4/mmm
Total DFT energy (no corrections) ... -0.3608 Ry/atom
Crystal system ... tetragonal

a b c (Å): 5.9006 5.9006 6.4636
angles (deg): 62.84 62.84 90.00
Closest atoms and distances in Å follow each position.
Fractional positions:
F 0.2551 0.2551 0.0000  1 Mg 2.04, 1 W 2.13
F 0.7449 0.2551 0.0000  1 Mg 2.04, 1 W 2.13
F 0.3000 0.3000 0.3999  1 Mg 1.97
F 0.7449 0.7449 0.0000  1 Mg 2.04, 1 W 2.13
F 0.7000 0.7000 0.6001  1 Mg 1.97
F 0.2551 0.7449 0.0000  1 Mg 2.04, 1 W 2.13
Rb 0.2500 0.7500 0.5000  12 F 2.99-3.23
Rb 0.7500 0.2500 0.5000  12 F 2.99-3.23
Mg 0.5000 0.5000 0.0000  6 F 1.97-2.04
W 0.0000 0.0000 0.0000  4 F 2.13

> Look up the total DFT energy (no corrections) of the fourth one.

-0.3849 Ry/atom

> What is the formula in the sixth record?

Rb2MgWF6